No. 1
# Ti4SnH

Ti4SnH after structural relaxation (GGA-PBE, Alexandria via LeMat-Bulk).

Cell lengths 3.880, 3.880, 6.439 Å; angles 90.00, 90.00, 90.00 degrees
Sites, in units of the cell vectors:
Sn1 0.000 0.000 0.000
Ti1 0.500 0.500 0.169
Ti2 0.000 0.500 0.500
Ti3 0.500 0.500 0.831
Ti4 0.500 0.000 0.500
H1 0.500 0.500 0.500

Output
The density of states at the Fermi level comes out at 1.066 states/eV per atom. For the total magnetization, the calculation gives 0.0 Bohr magnetons per cell. Its final energy is -0.231 Ha/atom.

No. 2
# Ti4Sn3H2

Ti4Sn3H2 after structural relaxation (GGA-PBE, Alexandria via LeMat-Bulk).

Cell lengths 3.798, 5.282, 7.458 Å; angles 99.89, 90.00, 111.08 degrees
Sites, in units of the cell vectors:
Ti1 0.861 0.722 0.578
Ti2 0.701 0.401 0.132
H1 0.301 0.601 0.607
Ti3 0.299 0.599 0.868
H2 0.699 0.399 0.393
Sn1 0.592 0.183 0.712
Sn2 0.000 0.000 0.000
Sn3 0.408 0.817 0.288
Ti4 0.139 0.278 0.422

Output
The density of states at the Fermi level comes out at 0.564 states/eV per atom. For the total magnetization, the calculation gives 0.0 Bohr magnetons per cell. Its final energy is -0.218 Ha/atom.

No. 3
# Ti3Sn2H2

Ti3Sn2H2 after structural relaxation (GGA-PBE, Alexandria via LeMat-Bulk).

Cell lengths 7.331, 5.413, 5.403 Å; angles 90.00, 68.90, 90.00 degrees
Sites, in units of the cell vectors:
Sn1 0.604 0.089 0.207
Sn2 0.104 0.411 0.207
H1 0.934 0.880 0.359
H2 0.434 0.620 0.359
H3 0.066 0.120 0.641
Ti1 0.706 0.625 0.378
Sn3 0.896 0.589 0.793
Ti2 0.794 0.125 0.622
Ti3 0.294 0.375 0.622
Ti4 0.500 0.500 0.000
Ti5 0.206 0.875 0.378
Ti6 0.000 0.000 0.000
Sn4 0.396 0.911 0.793
H4 0.566 0.380 0.641

Output
The density of states at the Fermi level comes out at 0.548 states/eV per atom. For the total magnetization, the calculation gives 0.0 Bohr magnetons per cell. Its final energy is -0.213 Ha/atom.

No. 4
# TiSn2H

TiSn2H after structural relaxation (GGA-PBE, Alexandria via LeMat-Bulk).

Cell lengths 4.756, 4.756, 4.756 Å; angles 60.00, 60.00, 60.00 degrees
Site moments in Bohr magnetons follow the coordinates.
Sites, in units of the cell vectors:
H1 0.000 0.000 0.000  0.03
Sn1 0.250 0.250 0.250  0.02
Ti1 0.500 0.500 0.500  0.59
Sn2 0.750 0.750 0.750  0.02

Output
The density of states at the Fermi level comes out at 1.117 states/eV per atom. For the total magnetization, the calculation gives 0.8 Bohr magnetons per cell. Its final energy is -0.157 Ha/atom.

No. 5
# Ti2SnH

Ti2SnH after structural relaxation (GGA-PBE, Alexandria via LeMat-Bulk).

Cell lengths 4.509, 4.509, 4.509 Å; angles 60.00, 60.00, 60.00 degrees
Sites, in units of the cell vectors:
Sn1 0.500 0.500 0.500
Ti1 0.750 0.750 0.750
H1 0.000 0.000 0.000
Ti2 0.250 0.250 0.250

Output
The density of states at the Fermi level comes out at 0.829 states/eV per atom. For the total magnetization, the calculation gives 0.0 Bohr magnetons per cell. Its final energy is -0.203 Ha/atom.

No. 6
# Ti5Sn3H

Ti5Sn3H after structural relaxation (GGA-PBE, Alexandria via LeMat-Bulk).

Cell lengths 5.417, 8.058, 8.058 Å; angles 120.00, 90.00, 90.00 degrees
Site moments in Bohr magnetons follow the coordinates.
Sites, in units of the cell vectors:
Ti1 0.750 0.769 0.000  0.34
Ti2 0.750 0.231 0.231  0.34
Sn1 0.250 0.000 0.605  -0.01
H1 0.500 0.000 0.000  -0.01
Sn2 0.750 0.605 0.605  -0.01
Sn3 0.250 0.605 0.000  -0.01
Sn4 0.250 0.395 0.395  -0.01
H2 0.000 0.000 0.000  -0.01
Ti3 0.250 0.000 0.231  0.34
Ti4 0.500 0.333 0.667  0.05
Ti5 0.000 0.333 0.667  0.05
Sn5 0.750 0.000 0.395  -0.01
Ti6 0.000 0.667 0.333  0.05
Ti7 0.750 0.000 0.769  0.34
Ti8 0.250 0.769 0.769  0.34
Ti9 0.250 0.231 0.000  0.34
Ti10 0.500 0.667 0.333  0.05
Sn6 0.750 0.395 0.000  -0.01

Output
The density of states at the Fermi level comes out at 1.024 states/eV per atom. For the total magnetization, the calculation gives 2.8 Bohr magnetons per cell. Its final energy is -0.237 Ha/atom.

No. 7
# TiSnH

TiSnH after structural relaxation (GGA-PBE, Alexandria via LeMat-Bulk).

Cell lengths 4.461, 3.291, 3.291 Å; angles 120.00, 90.00, 90.00 degrees
Sites, in units of the cell vectors:
H1 0.166 0.000 0.000
Ti1 0.167 0.667 0.333
Sn1 0.667 0.333 0.667

Output
The density of states at the Fermi level comes out at 0.430 states/eV per atom. For the total magnetization, the calculation gives 0.0 Bohr magnetons per cell. Its final energy is -0.199 Ha/atom.

No. 8
# Ti5Sn4H

Ti5Sn4H after structural relaxation (GGA-PBE, Alexandria via LeMat-Bulk).

Cell lengths 4.153, 6.875, 6.875 Å; angles 84.77, 72.42, 72.42 degrees
Sites, in units of the cell vectors:
Ti1 0.171 0.660 0.000
Ti2 0.831 0.000 0.340
H1 0.001 0.000 0.000
Ti3 0.831 0.340 0.000
Ti4 0.171 0.000 0.660
Sn1 0.501 0.303 0.697
Sn2 0.198 0.303 0.303
Sn3 0.804 0.697 0.697
Ti5 0.501 0.000 0.000
Sn4 0.501 0.697 0.303

Output
The density of states at the Fermi level comes out at 0.944 states/eV per atom. For the total magnetization, the calculation gives 0.0 Bohr magnetons per cell. Its final energy is -0.225 Ha/atom.

No. 9
# Ti2SnH

Ti2SnH after structural relaxation (GGA-PBE, Alexandria via LeMat-Bulk).

Cell lengths 3.877, 4.115, 7.427 Å; angles 106.08, 90.00, 90.00 degrees
Sites, in units of the cell vectors:
Ti1 0.000 0.500 0.000
Sn1 0.000 0.847 0.694
Ti2 0.500 0.000 0.000
Ti3 0.500 0.321 0.642
H1 0.500 0.448 0.895
H2 0.500 0.552 0.105
Ti4 0.500 0.679 0.358
Sn2 0.000 0.153 0.306

Output
The density of states at the Fermi level comes out at 0.756 states/eV per atom. For the total magnetization, the calculation gives 0.0 Bohr magnetons per cell. Its final energy is -0.224 Ha/atom.

No. 10
# TiSn2H

TiSn2H after structural relaxation (GGA-PBE, Alexandria via LeMat-Bulk).

Cell lengths 5.383, 5.383, 7.070 Å; angles 67.62, 67.62, 90.00 degrees
Site moments in Bohr magnetons follow the coordinates.
Sites, in units of the cell vectors:
Sn1 0.261 0.625 0.250  -0.02
Ti1 0.000 0.000 0.000  1.30
H1 0.250 0.750 0.500  0.01
H2 0.500 0.500 0.000  0.01
Sn2 0.489 0.125 0.250  -0.02
Sn3 0.375 0.511 0.750  -0.01
Sn4 0.875 0.739 0.750  -0.01
Ti2 0.750 0.250 0.500  1.31

Output
The density of states at the Fermi level comes out at 1.149 states/eV per atom. For the total magnetization, the calculation gives 3.4 Bohr magnetons per cell. Its final energy is -0.155 Ha/atom.

No. 11
# Ti2SnH

Ti2SnH after structural relaxation (GGA-PBE, Alexandria via LeMat-Bulk).

Cell lengths 3.131, 3.131, 7.130 Å; angles 77.31, 77.31, 60.00 degrees
Sites, in units of the cell vectors:
H1 0.000 0.000 0.000
Sn1 0.500 0.500 0.500
Ti1 0.720 0.720 0.839
Ti2 0.280 0.280 0.161

Output
The density of states at the Fermi level comes out at 1.256 states/eV per atom. For the total magnetization, the calculation gives 0.0 Bohr magnetons per cell. Its final energy is -0.220 Ha/atom.

No. 12
# Ti2SnH

Ti2SnH after structural relaxation (GGA-PBE, Alexandria via LeMat-Bulk).

Cell lengths 5.261, 5.261, 5.928 Å; angles 63.66, 63.66, 90.00 degrees
Sites, in units of the cell vectors:
H1 0.500 0.500 0.000
Ti1 0.375 0.625 0.750
H2 0.250 0.750 0.500
Ti2 0.875 0.625 0.750
Ti3 0.375 0.625 0.250
Sn1 0.750 0.250 0.500
Ti4 0.375 0.125 0.250
Sn2 0.000 0.000 0.000

Output
The density of states at the Fermi level comes out at 0.969 states/eV per atom. For the total magnetization, the calculation gives 0.0 Bohr magnetons per cell. Its final energy is -0.216 Ha/atom.